Entry i
A PBEsol-optimized structure of TaMoSe2, computed with meta-GGA SCAN.

The value obtained for the magnetization is 0.000 μB per cell. Its calculated density is 10.54 Mg/m³.

The structure belongs to space group Pmmm (No. 47); the cell edges are 3.124, 4.103 and 5.343 Å and the angles 90.00°, 90.00° and 90.00°. The asymmetric unit holds Ta at (0.000, 0.000, 0.000), Mo at (0.500, 0.000, 0.500), Se at (0.000, 0.500, 0.500) and Se at (0.500, 0.500, 0.000).

***

Entry ii
A PBEsol-optimized structure of TaMoSe2, computed with meta-GGA SCAN.

The value obtained for the magnetization is 0.000 μB per cell. Its calculated density is 10.58 Mg/m³.

The structure belongs to space group Immm (No. 71); the cell edges are 3.129, 5.289 and 8.244 Å and the angles 90.00°, 90.00° and 90.00°. The asymmetric unit holds Ta at (0.000, 0.000, 0.000), Mo at (0.000, 0.000, 0.500) and Se at (0.000, 0.500, 0.241).

***

Entry iii
A PBEsol-optimized structure of TaMoSe2, computed with meta-GGA SCAN.

The value obtained for the magnetization is 0.000 μB per cell. Its calculated density is 11.03 Mg/m³.

The structure belongs to space group P2/m (No. 10); the cell edges are 4.344, 3.102 and 5.308 Å and the angles 90.00°, 113.79° and 90.00°. The asymmetric unit holds Ta at (0.000, 0.000, 0.000), Mo at (0.500, 0.500, 0.500), Se at (0.000, 0.000, 0.500) and Se at (0.500, 0.500, 0.000).

***

Which structure loses on stability? entry i does.

***

Entry i
A PBEsol-optimized structure of TeMoSe, computed with meta-GGA SCAN.

The value obtained for the magnetization is 0.000 μB per cell. Its calculated density is 7.54 Mg/m³.

The structure belongs to space group P-6m2 (No. 187); the cell edges are 3.3742, 3.3742 and 13.5143 Å and the angles 90.00°, 90.00° and 120.00°. The asymmetric unit holds Te at (0.0000, 0.0000, 0.1375), Mo at (0.0000, 0.0000, 0.5000), Mo at (0.6667, 0.3333, 0.0000) and Se at (0.6667, 0.3333, 0.3794).

***

Entry ii
A PBEsol-optimized structure of TeMoSe, computed with meta-GGA SCAN.

The value obtained for the magnetization is 7.225 μB per cell. Its calculated density is 7.61 Mg/m³.

The structure belongs to space group F-43m (No. 216); the cell edges are 6.417, 6.417 and 6.417 Å and the angles 90.00°, 90.00° and 90.00°. The asymmetric unit holds Te at (0.000, 0.000, 0.000), Mo at (0.250, 0.250, 0.250) and Se at (0.000, 0.000, 0.500).

***

Which structure loses on stability? entry ii does.

***

Entry i
A PBEsol-optimized structure of YMoSe2, computed with meta-GGA SCAN.

The value obtained for the magnetization is 0.000 μB per cell. Its calculated density is 7.13 Mg/m³.

The structure belongs to space group P2/m (No. 10); the cell edges are 3.449, 4.013 and 5.780 Å and the angles 90.00°, 93.85° and 90.00°. The asymmetric unit holds Y at (0.000, 0.000, 0.000), Mo at (0.500, 0.000, 0.500) and Se at (0.374, 0.500, 0.740).

***

Entry ii
A PBEsol-optimized structure of YMoSe2, computed with meta-GGA SCAN.

The value obtained for the magnetization is 2.162 μB per cell. Its calculated density is 7.96 Mg/m³.

The structure belongs to space group Cmmm (No. 65); the cell edges are 4.596, 4.605 and 6.753 Å and the angles 90.00°, 90.00° and 90.00°. The asymmetric unit holds Y at (0.000, 0.000, 0.000), Mo at (0.000, 0.000, 0.500) and Se at (0.000, 0.500, 0.277).

***

Which structure loses on stability? entry ii does.

***

Entry i
A PBEsol-optimized structure of Si3Mo, computed with meta-GGA SCAN.

The value obtained for the magnetization is 0.000 μB per cell. Its calculated density is 5.24 Mg/m³.

The structure belongs to space group Cmcm (No. 63); the cell edges are 4.927, 10.682 and 4.340 Å and the angles 90.00°, 90.00° and 90.00°. The asymmetric unit holds Si at (0.000, 0.201, 0.250), Si at (0.236, 0.093, 0.750) and Mo at (0.000, 0.391, 0.750).

***

Entry ii
A PBEsol-optimized structure of Si3Mo, computed with meta-GGA SCAN.

The value obtained for the magnetization is 0.000 μB per cell. Its calculated density is 5.44 Mg/m³.

The structure belongs to space group Fm-3m (No. 225); the cell edges are 6.035, 6.035 and 6.035 Å and the angles 90.00°, 90.00° and 90.00°. The asymmetric unit holds Si at (0.000, 0.000, 0.000), Si at (0.250, 0.250, 0.250) and Mo at (0.000, 0.000, 0.500).

***

Entry iii
A PBEsol-optimized structure of Si3Mo, computed with meta-GGA SCAN.

The value obtained for the magnetization is 0.000 μB per cell. Its calculated density is 5.19 Mg/m³.

The structure belongs to space group R-3m (No. 166, hexagonal axes); the cell edges are 3.0017, 3.0017 and 22.1482 Å and the angles 90.00°, 90.00° and 120.00°. The asymmetric unit holds Si at (0.0000, 0.0000, 0.0000), Si at (0.0000, 0.0000, 0.2504) and Mo at (0.0000, 0.0000, 0.5000).

***

Which structure loses on stability? entry ii does.

***

Entry i
A PBEsol-optimized structure of Si3Mo5, computed with meta-GGA SCAN.

The value obtained for the magnetization is 0.000 μB per cell. Its calculated density is 8.34 Mg/m³.

The structure belongs to space group I4/mcm (No. 140); the cell edges are 9.602, 9.602 and 4.868 Å and the angles 90.00°, 90.00° and 90.00°. The asymmetric unit holds Si at (0.000, 0.000, 0.250), Si at (0.167, 0.333, 0.000), Mo at (0.000, 0.500, 0.250) and Mo at (0.077, 0.224, 0.500).

***

Entry ii
A PBEsol-optimized structure of Si3Mo5, computed with meta-GGA SCAN.

The value obtained for the magnetization is 0.000 μB per cell. Its calculated density is 8.24 Mg/m³.

The structure belongs to space group P6_3/mcm (No. 193); the cell edges are 7.2329, 7.2329 and 5.0140 Å and the angles 90.00°, 90.00° and 120.00°. The asymmetric unit holds Si at (0.0000, 0.3948, 0.2500), Mo at (0.0000, 0.2398, 0.7500) and Mo at (0.3333, 0.6667, 0.0000).

***

Which structure loses on stability? entry ii does.

***

Entry i
A PBEsol-optimized structure of SrSi2Mo, computed with meta-GGA SCAN.

The value obtained for the magnetization is 0.013 μB per cell. Its calculated density is 5.39 Mg/m³.

The structure belongs to space group P4/mmm (No. 123); the cell edges are 4.449, 4.449 and 3.730 Å and the angles 90.00°, 90.00° and 90.00°. The asymmetric unit holds Sr at (0.000, 0.000, 0.000), Si at (0.000, 0.500, 0.500) and Mo at (0.500, 0.500, 0.000).

***

Entry ii
A PBEsol-optimized structure of SrSi2Mo, computed with meta-GGA SCAN.

The value obtained for the magnetization is 0.002 μB per cell. Its calculated density is 5.02 Mg/m³.

The structure belongs to space group Immm (No. 71); the cell edges are 3.608, 5.350 and 8.211 Å and the angles 90.00°, 90.00° and 90.00°. The asymmetric unit holds Sr at (0.000, 0.000, 0.000), Si at (0.000, 0.500, 0.213) and Mo at (0.000, 0.000, 0.500).

***

Entry iii
A PBEsol-optimized structure of SrSi2Mo, computed with meta-GGA SCAN.

The value obtained for the magnetization is 0.000 μB per cell. Its calculated density is 5.59 Mg/m³.

The structure belongs to space group C2/m (No. 12); the cell edges are 6.283, 8.101 and 2.848 Å and the angles 90.00°, 100.78° and 90.00°. The asymmetric unit holds Sr at (0.000, 0.000, 0.000), Si at (0.250, 0.250, 0.500) and Mo at (0.000, 0.500, 0.000).

***

Which structure loses on stability? entry i does.